NbAlV: optimized geometry, PBE-GGA.

abc: 2.6922 4.5194 4.5194
angles: 120.00 90.00 90.00
With the nearest neighbours (Å) after each atom.
Fractional positions:
Nb 0.2989 0.6667 0.3333  2 Nb 2.69, 3 V 2.72, 3 Al 2.81
V 0.0157 0.0000 0.0000  2 V 2.69, 3 Nb 2.72, 3 Al 2.76
Al 0.6855 0.3333 0.6667  2 Al 2.69, 3 V 2.76, 3 Nb 2.81

Properties
Space group: P3m1
Energy of formation from the pure elements in kJ/mol of atoms: -11.4
Fermi-level density of states in states/eV/f.u.: 2.31
Energy above the most stable polymorph in this dataset in eV per atom: 0.099

***

NbAl2V: optimized geometry, PBE-GGA.

abc: 4.4860 4.4860 4.4860
angles: 60.00 60.00 60.00
With the nearest neighbours (Å) after each atom.
Fractional positions:
V 0.0000 0.0000 0.0000  8 Al 2.75
Al 0.7500 0.7500 0.7500  4 V 2.75, 4 Nb 2.75
Al 0.2500 0.2500 0.2500  4 Nb 2.75, 4 V 2.75
Nb 0.5000 0.5000 0.5000  8 Al 2.75

Properties
Space group: Fm-3m
Energy of formation from the pure elements in kJ/mol of atoms: -4.2
Fermi-level density of states in states/eV/f.u.: 2.85
Energy above the most stable polymorph in this dataset in eV per atom: 0.223